(1)
# AlAg | Alexandria | PBEsol | optimized geometry
data_AlAg
_chemical_formula_sum 'Al4 Ag4'
_symmetry_space_group_name_H-M 'P 1 2 1'
_symmetry_Int_Tables_number 3
_symmetry_space_group_name_Hall 'P 2y'
_cell_length_a 4.8162
_cell_length_b 5.6574
_cell_length_c 5.0248
_cell_angle_alpha 90.00
_cell_angle_beta 109.14
_cell_angle_gamma 90.00
loop_
_atom_site_label
_atom_site_fract_x
_atom_site_fract_y
_atom_site_fract_z
_atom_site_occupancy
Al1 0.0000 0.0000 0.0000 1
Al2 0.0000 0.2437 0.5000 1
Al3 0.0000 0.7465 0.5000 1
Al4 0.5000 0.7339 0.0000 1
Ag1 0.0000 0.5043 0.0000 1
Ag2 0.5000 0.2310 0.0000 1
Ag3 0.5000 0.4946 0.5000 1
Ag4 0.5000 0.9908 0.5000 1
# E_tot ... -3.75 eV/atom
# Calculated density ... 6.925 g/cm3

***

(2)
# Al3Ag2 | Alexandria | PBEsol | optimized geometry
data_Al3Ag2
_chemical_formula_sum 'Al6 Ag4'
_symmetry_space_group_name_H-M 'P 1'
_symmetry_Int_Tables_number 1
_symmetry_space_group_name_Hall 'P 1'
_cell_length_a 4.9273
_cell_length_b 5.7467
_cell_length_c 6.3573
_cell_angle_alpha 75.78
_cell_angle_beta 73.64
_cell_angle_gamma 73.02
loop_
_atom_site_label
_atom_site_fract_x
_atom_site_fract_y
_atom_site_fract_z
_atom_site_occupancy
Al1 0.0000 0.0000 0.0000 1
Al2 0.0004 0.4983 0.0002 1
Al3 0.1911 0.3100 0.5895 1
Al4 0.5978 0.3975 0.7907 1
Al5 0.5989 0.8993 0.7923 1
Al6 0.7933 0.1945 0.3958 1
Ag1 0.1879 0.8056 0.6122 1
Ag2 0.3966 0.1010 0.1862 1
Ag3 0.4130 0.5943 0.1855 1
Ag4 0.8040 0.6972 0.3958 1
# E_tot ... -3.82 eV/atom
# Calculated density ... 6.061 g/cm3
# Offset from the most stable computed form ... 0.031 eV/atom

***

(3)
# Al2Ag5 | Alexandria | PBEsol | optimized geometry
data_Al2Ag5
_chemical_formula_sum 'Al2 Ag5'
_symmetry_space_group_name_H-M 'P -1'
_symmetry_Int_Tables_number 2
_symmetry_space_group_name_Hall '-P 1'
_cell_length_a 4.7982
_cell_length_b 4.9400
_cell_length_c 5.0180
_cell_angle_alpha 99.80
_cell_angle_beta 97.03
_cell_angle_gamma 102.40
loop_
_atom_site_label
_atom_site_fract_x
_atom_site_fract_y
_atom_site_fract_z
_atom_site_occupancy
Al1 0.0812 0.1517 0.2864 1
Ag1 0.2078 0.4062 0.8576 1
Ag2 0.3489 0.7129 0.4401 1
Ag3 0.5000 0.0000 0.0000 1
# E_tot ... -3.62 eV/atom
# Calculated density ... 8.727 g/cm3
# Offset from the most stable computed form ... 0.000 eV/atom

***

(4)
# Al17Ag12 | Alexandria | PBEsol | optimized geometry
data_Al17Ag12
_chemical_formula_sum 'Al34 Ag24'
_symmetry_space_group_name_H-M 'I -4 3 m'
_symmetry_Int_Tables_number 217
_symmetry_space_group_name_Hall 'I -4 2 3'
_cell_length_a 9.8934
_cell_length_b 9.8934
_cell_length_c 9.8934
_cell_angle_alpha 90.00
_cell_angle_beta 90.00
_cell_angle_gamma 90.00
loop_
_atom_site_label
_atom_site_fract_x
_atom_site_fract_y
_atom_site_fract_z
_atom_site_occupancy
Al1 0.0000 0.0000 0.0000 1
Al2 0.0555 0.3635 0.3635 1
Al3 0.1646 0.1646 0.8354 1
Ag1 0.0981 0.0981 0.2962 1
# E_tot ... -3.77 eV/atom
# Calculated density ... 6.012 g/cm3

***

(5)
# AlAg | Alexandria | PBEsol | optimized geometry
data_AlAg
_chemical_formula_sum 'Al12 Ag12'
_symmetry_space_group_name_H-M 'C m m 2'
_symmetry_Int_Tables_number 35
_symmetry_space_group_name_Hall 'C 2 -2'
_cell_length_a 5.8296
_cell_length_b 7.8753
_cell_length_c 8.4268
_cell_angle_alpha 90.00
_cell_angle_beta 90.00
_cell_angle_gamma 90.00
loop_
_atom_site_label
_atom_site_fract_x
_atom_site_fract_y
_atom_site_fract_z
_atom_site_occupancy
Al1 0.0000 0.0000 0.0000 1
Al2 0.0000 0.0000 0.3299 1
Al3 0.0000 0.0000 0.6615 1
Al4 0.0000 0.5000 0.9852 1
Al5 0.2500 0.2500 0.1645 1
Ag1 0.0000 0.5000 0.3083 1
Ag2 0.0000 0.5000 0.6626 1
Ag3 0.2500 0.2500 0.4911 1
Ag4 0.2500 0.2500 0.8384 1
# E_tot ... -3.76 eV/atom
# Calculated density ... 6.946 g/cm3

***

(6)
# Al3Ag2 | Alexandria | PBEsol | optimized geometry
data_Al3Ag2
_chemical_formula_sum 'Al6 Ag4'
_symmetry_space_group_name_H-M 'I 4/m m m'
_symmetry_Int_Tables_number 139
_symmetry_space_group_name_Hall '-I 4 2'
_cell_length_a 2.8614
_cell_length_b 2.8614
_cell_length_c 19.8728
_cell_angle_alpha 90.00
_cell_angle_beta 90.00
_cell_angle_gamma 90.00
loop_
_atom_site_label
_atom_site_fract_x
_atom_site_fract_y
_atom_site_fract_z
_atom_site_occupancy
Al1 0.0000 0.0000 0.0000 1
Al2 0.0000 0.0000 0.1988 1
Ag1 0.0000 0.0000 0.4018 1
# E_tot ... -3.81 eV/atom
# Calculated density ... 6.056 g/cm3
# Offset from the most stable computed form ... 0.041 eV/atom

***

(7)
# Al3Ag | Alexandria | PBEsol | optimized geometry
data_Al3Ag
_chemical_formula_sum 'Al24 Ag8'
_symmetry_space_group_name_H-M 'F m m m'
_symmetry_Int_Tables_number 69
_symmetry_space_group_name_Hall '-F 2 2'
_cell_length_a 5.7455
_cell_length_b 8.0048
_cell_length_c 11.3603
_cell_angle_alpha 90.00
_cell_angle_beta 90.00
_cell_angle_gamma 90.00
loop_
_atom_site_label
_atom_site_fract_x
_atom_site_fract_y
_atom_site_fract_z
_atom_site_occupancy
Al1 0.0000 0.0000 0.1242 1
Al2 0.2500 0.2500 0.0000 1
Al3 0.2500 0.2500 0.2500 1
Ag1 0.0000 0.0000 0.3734 1
# E_tot ... -3.90 eV/atom
# Calculated density ... 4.801 g/cm3

***

(8)
# AlAg | Alexandria | PBEsol | optimized geometry
data_AlAg
_chemical_formula_sum 'Al2 Ag2'
_symmetry_space_group_name_H-M 'P m m n'
_symmetry_Int_Tables_number 59
_cell_length_a 3.0540
_cell_length_b 3.9217
_cell_length_c 5.3790
_cell_angle_alpha 90.00
_cell_angle_beta 90.00
_cell_angle_gamma 90.00
loop_
_symmetry_equiv_pos_as_xyz
'x,y,z'
'-x,-y,-z'
'-x+1/2,-y+1/2,z'
'x+1/2,y+1/2,-z'
'x+1/2,-y,-z'
'-x+1/2,y,z'
'-x,y+1/2,-z'
'x,-y+1/2,z'
loop_
_atom_site_label
_atom_site_fract_x
_atom_site_fract_y
_atom_site_fract_z
_atom_site_occupancy
Al1 0.2500 0.2500 0.1363 1
Ag1 0.2500 0.2500 0.6412 1
# E_tot ... -3.80 eV/atom
# Calculated density ... 6.952 g/cm3

***

(9)
# Al5Ag3 | Alexandria | PBEsol | optimized geometry
data_Al5Ag3
_chemical_formula_sum 'Al10 Ag6'
_symmetry_space_group_name_H-M 'I 4 m m'
_symmetry_Int_Tables_number 107
_symmetry_space_group_name_Hall 'I 4 -2'
_cell_length_a 4.0038
_cell_length_b 4.0038
_cell_length_c 16.1626
_cell_angle_alpha 90.00
_cell_angle_beta 90.00
_cell_angle_gamma 90.00
loop_
_atom_site_label
_atom_site_fract_x
_atom_site_fract_y
_atom_site_fract_z
_atom_site_occupancy
Al1 0.0000 0.0000 0.0000 1
Al2 0.0000 0.0000 0.2424 1
Al3 0.0000 0.0000 0.4987 1
Al4 0.0000 0.5000 0.3717 1
Ag1 0.0000 0.0000 0.7524 1
Ag2 0.0000 0.5000 0.1207 1
# E_tot ... -3.83 eV/atom
# Calculated density ... 5.877 g/cm3
# Offset from the most stable computed form ... 0.023 eV/atom

***

(10)
# Al7Ag4 | Alexandria | PBEsol | optimized geometry
data_Al7Ag4
_chemical_formula_sum 'Al14 Ag8'
_symmetry_space_group_name_H-M 'C 1 2/m 1'
_symmetry_Int_Tables_number 12
_symmetry_space_group_name_Hall '-C 2y'
_cell_length_a 18.4696
_cell_length_b 2.9313
_cell_length_c 6.7676
_cell_angle_alpha 90.00
_cell_angle_beta 103.63
_cell_angle_gamma 90.00
loop_
_atom_site_label
_atom_site_fract_x
_atom_site_fract_y
_atom_site_fract_z
_atom_site_occupancy
Al1 0.0000 0.0000 0.0000 1
Al2 0.0447 0.5000 0.3678 1
Al3 0.0922 0.0000 0.7327 1
Al4 0.1817 0.0000 0.4515 1
Ag1 0.1325 0.5000 0.0959 1
Ag2 0.2243 0.5000 0.8065 1
# E_tot ... -3.86 eV/atom
# Calculated density ... 5.786 g/cm3
# Offset from the most stable computed form ... 0.000 eV/atom

***

(11)
# Al3Ag | Alexandria | PBEsol | optimized geometry
data_Al3Ag
_chemical_formula_sum 'Al6 Ag2'
_symmetry_space_group_name_H-M 'P 1 2/m 1'
_symmetry_Int_Tables_number 10
_symmetry_space_group_name_Hall '-P 2y'
_cell_length_a 4.9305
_cell_length_b 2.8207
_cell_length_c 9.5425
_cell_angle_alpha 90.00
_cell_angle_beta 101.62
_cell_angle_gamma 90.00
loop_
_atom_site_label
_atom_site_fract_x
_atom_site_fract_y
_atom_site_fract_z
_atom_site_occupancy
Al1 0.1166 0.0000 0.3761 1
Al2 0.1356 0.5000 0.8780 1
Al3 0.3767 0.5000 0.6228 1
Ag1 0.3681 0.0000 0.1317 1
# E_tot ... -3.92 eV/atom
# Calculated density ... 4.824 g/cm3

***

(12)
# Al3Ag5 | Alexandria | PBEsol | optimized geometry
data_Al3Ag5
_chemical_formula_sum 'Al3 Ag5'
_symmetry_space_group_name_H-M 'P 1 2/m 1'
_symmetry_Int_Tables_number 10
_symmetry_space_group_name_Hall '-P 2y'
_cell_length_a 4.7977
_cell_length_b 5.7269
_cell_length_c 5.0095
_cell_angle_alpha 90.00
_cell_angle_beta 110.56
_cell_angle_gamma 90.00
loop_
_atom_site_label
_atom_site_fract_x
_atom_site_fract_y
_atom_site_fract_z
_atom_site_occupancy
Al1 0.0000 0.0000 0.0000 1
Al2 0.0000 0.2523 0.5000 1
Ag1 0.0000 0.5000 0.0000 1
Ag2 0.5000 0.0000 0.5000 1
Ag3 0.5000 0.2449 0.0000 1
Ag4 0.5000 0.5000 0.5000 1
# E_tot ... -3.68 eV/atom
# Calculated density ... 7.992 g/cm3
# Offset from the most stable computed form ... 0.019 eV/atom

***

So what do the calculations give for E_form? Going down the list: -0.051; -0.037; -0.091; -0.001; -0.060; -0.028; -0.003; -0.104; -0.036; -0.056; -0.020; -0.073 eV/atom.